1.
# SmThCdIr | the Alexandria database | PBE | relaxed
data_SmThCdIr
_chemical_formula_sum 'Sm4 Th4 Cd4 Ir4'
_cell_length_a 7.336
_cell_length_b 7.336
_cell_length_c 7.336
_cell_angle_alpha 90.00
_cell_angle_beta 90.00
_cell_angle_gamma 90.00
_symmetry_space_group_name_H-M 'F -4 3 m'
_symmetry_Int_Tables_number 216
_symmetry_space_group_name_Hall 'F -4 2 3'
loop_
_atom_site_label
_atom_site_type_symbol
_atom_site_fract_x
_atom_site_fract_y
_atom_site_fract_z
Sm1 Sm 0.000 0.000 0.000
Th1 Th 0.000 0.000 0.500
Cd1 Cd 0.250 0.250 0.750
Ir1 Ir 0.250 0.250 0.250
# Formation energy: -0.3728 eV per atom

2.
# SmTmCdIr | the Alexandria database | PBE | relaxed
data_SmTmCdIr
_chemical_formula_sum 'Sm4 Tm4 Cd4 Ir4'
_cell_length_a 7.153
_cell_length_b 7.153
_cell_length_c 7.153
_cell_angle_alpha 90.00
_cell_angle_beta 90.00
_cell_angle_gamma 90.00
_symmetry_space_group_name_H-M 'F -4 3 m'
_symmetry_Int_Tables_number 216
_symmetry_space_group_name_Hall 'F -4 2 3'
loop_
_atom_site_label
_atom_site_type_symbol
_atom_site_fract_x
_atom_site_fract_y
_atom_site_fract_z
Sm1 Sm 0.000 0.000 0.000
Tm1 Tm 0.000 0.000 0.500
Cd1 Cd 0.250 0.250 0.250
Ir1 Ir 0.250 0.250 0.750
# Formation energy: -0.5216 eV per atom

3.
# SmYCdIr | the Alexandria database | PBE | relaxed
data_SmYCdIr
_chemical_formula_sum 'Sm4 Y4 Cd4 Ir4'
_cell_length_a 7.209
_cell_length_b 7.209
_cell_length_c 7.209
_cell_angle_alpha 90.00
_cell_angle_beta 90.00
_cell_angle_gamma 90.00
_symmetry_space_group_name_H-M 'F -4 3 m'
_symmetry_Int_Tables_number 216
_symmetry_space_group_name_Hall 'F -4 2 3'
loop_
_atom_site_label
_atom_site_type_symbol
_atom_site_fract_x
_atom_site_fract_y
_atom_site_fract_z
Sm1 Sm 0.000 0.000 0.000
Y1 Y 0.000 0.000 0.500
Cd1 Cd 0.250 0.250 0.250
Ir1 Ir 0.250 0.250 0.750
# Formation energy: -0.5049 eV per atom

Number 1: N(E_F) 0.86 states/eV per atom. Number 2: N(E_F) 0.71 states/eV per atom. Number 3: N(E_F) 0.68 states/eV per atom.